# 1
The following is a DFT calculation (PBE+U) of a geometry-optimized Li2MnO2F structure.

Geometry as POSCAR:
```
Li2MnO2F
1.0
4.5180 2.5869 0.0027
-4.5180 2.5869 0.0027
0.0000 1.6124 9.6469
Li Mn O F
8 4 8 4
Direct
0.6592 0.8340 0.7445
0.4944 0.0036 0.2501
0.0918 0.9082 0.5000
0.1660 0.3408 0.2555
0.9964 0.5056 0.7499
0.8606 0.6730 0.2550
0.7488 0.2512 0.5000
0.3270 0.1394 0.7450
0.2511 0.7489 0.0000
0.3950 0.6050 0.5000
0.5871 0.4129 0.0000
0.9225 0.0775 0.0000
0.5837 0.7155 0.1105
0.3680 0.8538 0.6194
0.9200 0.7620 0.8797
0.2845 0.4163 0.8895
0.1462 0.6320 0.3806
0.8513 0.3699 0.1174
0.6301 0.1487 0.8826
0.2380 0.0800 0.1203
0.8120 0.9727 0.3726
0.6771 0.5381 0.6155
0.0273 0.1880 0.6274
0.4619 0.3229 0.3845
```

Summary:
- M_tot (μB/f.u.) = 4.00
- total energy (eV/atom) = -5.95
- symmetry = C2, No. 5

***

# 2
The following is a DFT calculation (PBE+U) of a geometry-optimized FeBiIO2 structure.

Geometry as POSCAR:
```
FeBiIO2
1.0
-3.7640 -0.7320 -1.8383
1.0267 -4.0999 -0.4696
-2.1033 -1.0687 4.7321
I Bi O Fe
1 1 2 1
Direct
0.0000 0.0000 0.5000
0.5000 0.5000 0.5000
0.0000 0.5000 0.0000
0.5000 0.0000 0.0000
0.0000 0.0000 0.0000
```

Summary:
- M_tot (μB/f.u.) = 4.69
- total energy (eV/atom) = -4.21
- symmetry = P4/mmm, No. 123

***

Question: Which of these has the lowest total energy?
Answer: Li2MnO2F

***

Question: Which formula does entry 1 have?
Answer: Li2MnO2F

***

What did the first record say?
The following is a DFT calculation (PBE+U) of a geometry-optimized Li2MnO2F structure.

Geometry as POSCAR:
```
Li2MnO2F
1.0
4.5180 2.5869 0.0027
-4.5180 2.5869 0.0027
0.0000 1.6124 9.6469
Li Mn O F
8 4 8 4
Direct
0.6592 0.8340 0.7445
0.4944 0.0036 0.2501
0.0918 0.9082 0.5000
0.1660 0.3408 0.2555
0.9964 0.5056 0.7499
0.8606 0.6730 0.2550
0.7488 0.2512 0.5000
0.3270 0.1394 0.7450
0.2511 0.7489 0.0000
0.3950 0.6050 0.5000
0.5871 0.4129 0.0000
0.9225 0.0775 0.0000
0.5837 0.7155 0.1105
0.3680 0.8538 0.6194
0.9200 0.7620 0.8797
0.2845 0.4163 0.8895
0.1462 0.6320 0.3806
0.8513 0.3699 0.1174
0.6301 0.1487 0.8826
0.2380 0.0800 0.1203
0.8120 0.9727 0.3726
0.6771 0.5381 0.6155
0.0273 0.1880 0.6274
0.4619 0.3229 0.3845
```

Summary:
- M_tot (μB/f.u.) = 4.00
- total energy (eV/atom) = -5.95
- symmetry = C2, No. 5

***

Question: Which formula does entry 1 have?
Answer: Li2MnO2F